Entry one
First-principles (PBE-GGA) data for an optimized crystal structure of BiPS3, as listed in Alexandria via LeMat-Bulk.

The structure belongs to space group Ima2 (No. 46); the cell edges are 6.858, 9.069 and 9.186 Å and the angles 90.00°, 90.00° and 90.00°. The asymmetric unit holds Bi at (0.250, 0.224, 0.000), P at (0.250, 0.627, 0.280), S at (0.008, 0.719, 0.783) and S at (0.250, 0.563, 0.501).

---

Entry two
First-principles (PBE-GGA) data for an optimized crystal structure of BiPS3, as listed in Alexandria via LeMat-Bulk.

The density of states at the Fermi level comes out at 6.4 states/eV/f.u.

The structure belongs to space group Pm-3m (No. 221); the cell edges are 5.210, 5.210 and 5.210 Å and the angles 90.00°, 90.00° and 90.00°. The asymmetric unit holds Bi at (0.000, 0.000, 0.000), P at (0.500, 0.500, 0.500) and S at (0.000, 0.000, 0.500).

---

How far above the most stable structure does each one sit? In meV per atom: entry one 0; entry two 1287.

---

Entry one
First-principles (PBE-GGA) data for an optimized crystal structure of BiPS2, as listed in Alexandria via LeMat-Bulk.

The density of states at the Fermi level comes out at 2.4 states/eV/f.u.

The structure belongs to space group Fm-3m (No. 225); the cell edges are 6.785, 6.785 and 6.785 Å and the angles 90.00°, 90.00° and 90.00°. The asymmetric unit holds Bi at (0.000, 0.000, 0.000), P at (0.000, 0.000, 0.500) and S at (0.250, 0.250, 0.250).

---

Entry two
First-principles (PBE-GGA) data for an optimized crystal structure of BiPS2, as listed in Alexandria via LeMat-Bulk.

The density of states at the Fermi level comes out at 0.9 states/eV/f.u.

The structure belongs to space group R-3m (No. 166, hexagonal axes); the cell edges are 3.5244, 3.5244 and 25.1878 Å and the angles 90.00°, 90.00° and 120.00°. The asymmetric unit holds Bi at (0.0000, 0.0000, 0.0000), P at (0.0000, 0.0000, 0.5000) and S at (0.0000, 0.0000, 0.1119).

---

Entry three
First-principles (PBE-GGA) data for an optimized crystal structure of BiPS2, as listed in Alexandria via LeMat-Bulk.

The density of states at the Fermi level comes out at 1.1 states/eV/f.u.

The structure belongs to space group I-42d (No. 122); the cell edges are 5.063, 5.063 and 15.427 Å and the angles 90.00°, 90.00° and 90.00°. The asymmetric unit holds Bi at (0.000, 0.000, 0.000), P at (0.000, 0.000, 0.500) and S at (0.195, 0.250, 0.625).

---

How far above the most stable structure does each one sit? In meV per atom: entry one 390; entry two 0; entry three 224.

---

Entry one
First-principles (PBE-GGA) data for an optimized crystal structure of BiP2S6, as listed in Alexandria via LeMat-Bulk.

The density of states at the Fermi level comes out at 2.0 states/eV/f.u.

The structure belongs to space group C2/c (No. 15); the cell edges are 12.426, 11.295 and 7.005 Å and the angles 90.00°, 111.81° and 90.00°. The asymmetric unit holds Bi at (0.000, 0.136, 0.250), P at (0.205, 0.429, 0.220), S at (0.116, 0.080, 0.680), S at (0.136, 0.272, 0.093) and S at (0.148, 0.438, 0.510).

---

Entry two
First-principles (PBE-GGA) data for an optimized crystal structure of BiP2S6, as listed in Alexandria via LeMat-Bulk.

The density of states at the Fermi level comes out at 2.9 states/eV/f.u.

The structure belongs to space group P-3m1 (No. 164); the cell edges are 6.9641, 6.9641 and 7.8955 Å and the angles 90.00°, 90.00° and 120.00°. The asymmetric unit holds Bi at (0.0000, 0.0000, 0.0000), P at (0.3333, 0.6667, 0.7589) and S at (0.1694, 0.3387, 0.7462).

---

How far above the most stable structure does each one sit? In meV per atom: entry one 0; entry two 100.